ErScCdAg, optimized geometry, DFT PBE; energy above the most stable polymorph in this dataset = 16 meV per atom; total DFT energy (no corrections) = -15.77 eV per formula unit; calculated volume = 22.9 Å³ per atom; formation energy = -0.278 eV/atom
1.0
7.155 0.000 0.000
0.000 7.155 0.000
0.000 0.000 7.155
Er Sc Cd Ag
4 4 4 4
direct
0.000 0.000 0.000 Er
0.000 0.500 0.500 Er
0.500 0.000 0.500 Er
0.500 0.500 0.000 Er
0.000 0.000 0.500 Sc
0.000 0.500 0.000 Sc
0.500 0.000 0.000 Sc
0.500 0.500 0.500 Sc
0.250 0.250 0.250 Cd
0.250 0.750 0.750 Cd
0.750 0.250 0.750 Cd
0.750 0.750 0.250 Cd
0.250 0.250 0.750 Ag
0.250 0.750 0.250 Ag
0.750 0.250 0.250 Ag
0.750 0.750 0.750 Ag



SmErCdAg, optimized geometry, DFT PBE; energy above the most stable polymorph in this dataset = 11 meV per atom; total DFT energy (no corrections) = -14.23 eV per formula unit; calculated volume = 25.6 Å³ per atom; formation energy = -0.295 eV/atom
1.0
7.424 0.000 0.000
0.000 7.424 0.000
0.000 0.000 7.424
Sm Er Cd Ag
4 4 4 4
direct
0.000 0.000 0.000 Sm
0.000 0.500 0.500 Sm
0.500 0.000 0.500 Sm
0.500 0.500 0.000 Sm
0.000 0.000 0.500 Er
0.000 0.500 0.000 Er
0.500 0.000 0.000 Er
0.500 0.500 0.500 Er
0.250 0.250 0.750 Cd
0.250 0.750 0.250 Cd
0.750 0.250 0.250 Cd
0.750 0.750 0.750 Cd
0.250 0.250 0.250 Ag
0.250 0.750 0.750 Ag
0.750 0.250 0.750 Ag
0.750 0.750 0.250 Ag



SmErCdAg, optimized geometry, DFT PBE; energy above the most stable polymorph in this dataset = 0 meV per atom; total DFT energy (no corrections) = -14.27 eV per formula unit; calculated volume = 25.5 Å³ per atom; formation energy = -0.306 eV/atom
1.0
3.692 0.000 0.000
0.000 3.692 0.000
0.000 0.000 7.485
Sm Er Cd Ag
1 1 1 1
direct
0.000 0.000 0.000 Sm
0.000 0.000 0.484 Er
0.500 0.500 0.732 Cd
0.500 0.500 0.260 Ag



SrErCdAg, optimized geometry, DFT PBE; total DFT energy (no corrections) = -10.88 eV per formula unit; calculated volume = 27.6 Å³ per atom; formation energy = -0.217 eV/atom
1.0
7.613 0.000 0.000
0.000 7.613 0.000
0.000 0.000 7.613
Sr Er Cd Ag
4 4 4 4
direct
0.000 0.000 0.000 Sr
0.000 0.500 0.500 Sr
0.500 0.000 0.500 Sr
0.500 0.500 0.000 Sr
0.000 0.000 0.500 Er
0.000 0.500 0.000 Er
0.500 0.000 0.000 Er
0.500 0.500 0.500 Er
0.250 0.250 0.750 Cd
0.250 0.750 0.250 Cd
0.750 0.250 0.250 Cd
0.750 0.750 0.750 Cd
0.250 0.250 0.250 Ag
0.250 0.750 0.750 Ag
0.750 0.250 0.750 Ag
0.750 0.750 0.250 Ag



Sr2ErCd12Ag3, optimized geometry, DFT PBE; total DFT energy (no corrections) = -26.18 eV per formula unit; calculated volume = 28.7 Å³ per atom; formation energy = 0.071 eV/atom
1.0
4.313 2.490 8.029
-4.313 2.490 8.029
0.000 -4.980 8.029
Sr Er Cd Ag
2 1 12 3
direct
0.089 0.089 0.089 Sr
0.911 0.911 0.911 Sr
0.500 0.500 0.500 Er
0.031 0.670 0.670 Cd
0.274 0.274 0.647 Cd
0.274 0.647 0.274 Cd
0.330 0.330 0.969 Cd
0.330 0.969 0.330 Cd
0.353 0.726 0.726 Cd
0.647 0.274 0.274 Cd
0.670 0.031 0.670 Cd
0.670 0.670 0.031 Cd
0.726 0.353 0.726 Cd
0.726 0.726 0.353 Cd
0.969 0.330 0.330 Cd
0.000 0.500 0.500 Ag
0.500 0.000 0.500 Ag
0.500 0.500 0.000 Ag



TbErCdAg, optimized geometry, DFT PBE; energy above the most stable polymorph in this dataset = 0 meV per atom; total DFT energy (no corrections) = -14.22 eV per formula unit; calculated volume = 24.9 Å³ per atom; formation energy = -0.316 eV/atom
1.0
3.675 0.000 0.000
0.000 3.675 0.000
0.000 0.000 7.381
Tb Er Cd Ag
1 1 1 1
direct
0.000 0.000 0.000 Tb
0.000 0.000 0.483 Er
0.500 0.500 0.737 Cd
0.500 0.500 0.249 Ag



TbErCdAg, optimized geometry, DFT PBE; energy above the most stable polymorph in this dataset = 10 meV per atom; total DFT energy (no corrections) = -14.18 eV per formula unit; calculated volume = 25.0 Å³ per atom; formation energy = -0.306 eV/atom
1.0
7.364 0.000 0.000
0.000 7.364 0.000
0.000 0.000 7.364
Tb Er Cd Ag
4 4 4 4
direct
0.000 0.000 0.000 Tb
0.000 0.500 0.500 Tb
0.500 0.000 0.500 Tb
0.500 0.500 0.000 Tb
0.000 0.000 0.500 Er
0.000 0.500 0.000 Er
0.500 0.000 0.000 Er
0.500 0.500 0.500 Er
0.250 0.250 0.750 Cd
0.250 0.750 0.250 Cd
0.750 0.250 0.250 Cd
0.750 0.750 0.750 Cd
0.250 0.250 0.250 Ag
0.250 0.750 0.750 Ag
0.750 0.250 0.750 Ag
0.750 0.750 0.250 Ag



ErThCdAg, optimized geometry, DFT PBE; total DFT energy (no corrections) = -16.30 eV per formula unit; calculated volume = 26.2 Å³ per atom; formation energy = -0.137 eV/atom
1.0
7.483 0.000 0.000
0.000 7.483 0.000
0.000 0.000 7.483
Er Th Cd Ag
4 4 4 4
direct
0.000 0.000 0.000 Er
0.000 0.500 0.500 Er
0.500 0.000 0.500 Er
0.500 0.500 0.000 Er
0.000 0.000 0.500 Th
0.000 0.500 0.000 Th
0.500 0.000 0.000 Th
0.500 0.500 0.500 Th
0.250 0.250 0.750 Cd
0.250 0.750 0.250 Cd
0.750 0.250 0.250 Cd
0.750 0.750 0.750 Cd
0.250 0.250 0.250 Ag
0.250 0.750 0.750 Ag
0.750 0.250 0.750 Ag
0.750 0.750 0.250 Ag



ErTiCdAg, optimized geometry, DFT PBE; total DFT energy (no corrections) = -16.36 eV per formula unit; calculated volume = 21.5 Å³ per atom; formation energy = -0.034 eV/atom
1.0
7.005 0.000 0.000
0.000 7.005 0.000
0.000 0.000 7.005
Er Ti Cd Ag
4 4 4 4
direct
0.000 0.000 0.000 Er
0.000 0.500 0.500 Er
0.500 0.000 0.500 Er
0.500 0.500 0.000 Er
0.000 0.000 0.500 Ti
0.000 0.500 0.000 Ti
0.500 0.000 0.000 Ti
0.500 0.500 0.500 Ti
0.250 0.250 0.750 Cd
0.250 0.750 0.250 Cd
0.750 0.250 0.250 Cd
0.750 0.750 0.750 Cd
0.250 0.250 0.250 Ag
0.250 0.750 0.750 Ag
0.750 0.250 0.750 Ag
0.750 0.750 0.250 Ag



Er4Tl2CdAg, optimized geometry, DFT PBE; total DFT energy (no corrections) = -29.34 eV per formula unit; calculated volume = 25.6 Å³ per atom; formation energy = -0.324 eV/atom
1.0
2.626 1.516 8.578
-2.626 1.516 8.578
0.000 -3.032 8.578
Er Tl Cd Ag
4 2 1 1
direct
0.123 0.123 0.123 Er
0.373 0.373 0.373 Er
0.627 0.627 0.627 Er
0.877 0.877 0.877 Er
0.249 0.249 0.249 Tl
0.751 0.751 0.751 Tl
0.500 0.500 0.500 Cd
0.000 0.000 0.000 Ag



ErTmCdAg, optimized geometry, DFT PBE; energy above the most stable polymorph in this dataset = 11 meV per atom; total DFT energy (no corrections) = -14.04 eV per formula unit; calculated volume = 24.3 Å³ per atom; formation energy = -0.310 eV/atom
1.0
7.303 0.000 0.000
0.000 7.303 0.000
0.000 0.000 7.303
Er Tm Cd Ag
4 4 4 4
direct
0.000 0.000 0.000 Er
0.000 0.500 0.500 Er
0.500 0.000 0.500 Er
0.500 0.500 0.000 Er
0.000 0.000 0.500 Tm
0.000 0.500 0.000 Tm
0.500 0.000 0.000 Tm
0.500 0.500 0.500 Tm
0.250 0.250 0.250 Cd
0.250 0.750 0.750 Cd
0.750 0.250 0.750 Cd
0.750 0.750 0.250 Cd
0.250 0.250 0.750 Ag
0.250 0.750 0.250 Ag
0.750 0.250 0.250 Ag
0.750 0.750 0.750 Ag



ErTmCdAg, optimized geometry, DFT PBE; energy above the most stable polymorph in this dataset = 0 meV per atom; total DFT energy (no corrections) = -14.08 eV per formula unit; calculated volume = 24.3 Å³ per atom; formation energy = -0.321 eV/atom
1.0
3.658 0.000 0.000
0.000 3.658 0.000
0.000 0.000 7.261
Er Tm Cd Ag
1 1 1 1
direct
0.000 0.000 0.000 Er
0.000 0.000 0.517 Tm
0.500 0.500 0.260 Cd
0.500 0.500 0.756 Ag